# 1
# BaSm2Sc

An optimized crystal structure of BaSm2Sc (PBE, Alexandria).

abc: 3.5998 3.5998 12.8534
angles: 81.95 81.95 60.00
Last column: nearest neighbours and their distance in Å.
Sites, in units of the cell vectors:
Sm  0.9036  0.9036  0.2891  3 Sc 3.39, 6 Sm 3.60, 1 Ba 3.67
Sm  0.0964  0.0964  0.7109  3 Sc 3.39, 6 Sm 3.60, 1 Ba 3.67
Ba  0.0000  0.0000  0.0000  6 Ba 3.60, 2 Sm 3.67
Sc  0.5000  0.5000  0.5000  6 Sm 3.39, 6 Sc 3.60

* total magnetic moment: 0.0 μB/cell
* calculated volume: 35.59 Å³ per atom
* energy of formation: 0.247 eV/atom

# 2
# BaIn6

An optimized crystal structure of BaIn6 (PBE, Alexandria).

abc: 6.9768 6.9768 6.9768
angles: 109.47 109.47 109.47
Last column: nearest neighbours and their distance in Å.
Sites, in units of the cell vectors:
In  0.5000  0.7500  0.2500  4 In 2.85
In  0.2500  0.5000  0.7500  4 In 2.85
In  0.7500  0.2500  0.5000  4 In 2.85
In  0.7500  0.5000  0.2500  4 In 2.85
In  0.5000  0.2500  0.7500  4 In 2.85
In  0.2500  0.7500  0.5000  4 In 2.85
Ba  0.0000  0.0000  0.0000  24 In 4.50

* total magnetic moment: 0.0 μB/cell
* calculated volume: 37.35 Å³ per atom
* energy of formation: 0.017 eV/atom

# 3
# Rb3Mn2S4

An optimized crystal structure of Rb3Mn2S4 (PBE, Alexandria).

abc: 6.9898 8.9292 8.9292
angles: 73.95 94.32 94.32
Last column: nearest neighbours and their distance in Å.
Sites, in units of the cell vectors:
Rb  0.2500  0.5989  0.4011  6 S 3.24-3.44
Rb  0.0486  0.2600  0.9865  4 S 3.29-3.56, 1 Mn 3.63
Rb  0.5486  0.9865  0.2600  4 S 3.29-3.56, 1 Mn 3.63
Rb  0.4514  0.0135  0.7400  4 S 3.29-3.56, 1 Mn 3.63
Rb  0.9514  0.7400  0.0135  4 S 3.29-3.56, 1 Mn 3.63
Rb  0.7500  0.4011  0.5989  6 S 3.24-3.44
S  0.5251  0.3267  0.9377  2 Mn 2.37-2.39
S  0.8841  0.3817  0.2653  2 Mn 2.35-2.36
S  0.9749  0.0623  0.6733  2 Mn 2.37-2.39
S  0.1159  0.6183  0.7347  2 Mn 2.35-2.36
S  0.3841  0.2653  0.3817  2 Mn 2.35-2.36
S  0.0251  0.9377  0.3267  2 Mn 2.37-2.39
S  0.4749  0.6733  0.0623  2 Mn 2.37-2.39
S  0.6159  0.7347  0.6183  2 Mn 2.35-2.36
Mn  0.4374  0.5906  0.8305  4 S 2.35-2.39
Mn  0.5626  0.4094  0.1695  4 S 2.35-2.39
Mn  0.0626  0.1695  0.4094  4 S 2.35-2.39
Mn  0.9374  0.8305  0.5906  4 S 2.35-2.39

* total magnetic moment: 18.0 μB/cell
* calculated volume: 29.62 Å³ per atom
* formation energy (no corrections): -0.911 eV per atom

# 4
# Ce2OsC2

An optimized crystal structure of Ce2OsC2 (PBE, Alexandria).

abc: 6.4388 6.3769 8.3208
angles: 90.00 100.72 90.00
Last column: nearest neighbours and their distance in Å.
Sites, in units of the cell vectors:
C  0.3626  0.7341  0.6206  2 Os 1.92
C  0.7809  0.4173  0.8371  1 Os 2.05
C  0.7191  0.9173  0.1629  1 Os 2.05
C  0.2191  0.5827  0.1629  1 Os 2.05
C  0.6374  0.2659  0.3794  2 Os 1.92
C  0.1374  0.2341  0.3794  2 Os 1.92
C  0.8626  0.7659  0.6206  2 Os 1.92
C  0.2809  0.0827  0.8371  1 Os 2.05
Ce  0.4624  0.7375  0.9574  3 C 2.43-2.71
Ce  0.3768  0.9019  0.3346  5 C 2.58-2.85
Ce  0.5376  0.2625  0.0426  3 C 2.43-2.71
Ce  0.6232  0.0981  0.6654  5 C 2.58-2.85
Ce  0.0376  0.2375  0.0426  3 C 2.43-2.71
Ce  0.9624  0.7625  0.9574  3 C 2.43-2.71
Ce  0.8768  0.5981  0.3346  5 C 2.58-2.85
Ce  0.1232  0.4019  0.6654  5 C 2.58-2.85
Os  0.1282  0.9108  0.6422  3 C 1.92-2.05
Os  0.6282  0.5892  0.6422  3 C 1.92-2.05
Os  0.8718  0.0892  0.3578  3 C 1.92-2.05
Os  0.3718  0.4108  0.3578  3 C 1.92-2.05

* total magnetic moment: 3.1 μB/cell
* calculated volume: 16.78 Å³ per atom
* energy of formation: -0.117 eV/atom

# 5
# SbRh4

An optimized crystal structure of SbRh4 (PBE, Alexandria).

abc: 4.7986 4.7986 4.7986
angles: 100.11 100.11 130.46
Last column: nearest neighbours and their distance in Å.
Sites, in units of the cell vectors:
Rh  0.6047  0.8059  0.4105  3 Sb 2.71-2.83, 9 Rh 2.72-2.82
Rh  0.3953  0.1941  0.5895  3 Sb 2.71-2.83, 9 Rh 2.72-2.82
Rh  0.1941  0.6047  0.7988  3 Sb 2.71-2.83, 9 Rh 2.72-2.82
Rh  0.8059  0.3953  0.2012  3 Sb 2.71-2.83, 9 Rh 2.72-2.82
Sb  0.0000  0.0000  0.0000  12 Rh 2.71-2.83

* total magnetic moment: 0.0 μB/cell
* calculated volume: 15.27 Å³ per atom
* formation energy (no corrections): -0.161 eV per atom

# 6
# BaTc3Au

An optimized crystal structure of BaTc3Au (PBE, Alexandria).

abc: 5.1227 5.1227 5.1227
angles: 90.00 90.00 90.00
Last column: nearest neighbours and their distance in Å.
Sites, in units of the cell vectors:
Ba  0.5000  0.5000  0.5000  12 Tc 3.62
Tc  0.0000  0.0000  0.5000  2 Au 2.56
Tc  0.0000  0.5000  0.0000  2 Au 2.56
Tc  0.5000  0.0000  0.0000  2 Au 2.56
Au  0.0000  0.0000  0.0000  6 Tc 2.56

* total magnetic moment: 9.1 μB/cell
* calculated volume: 26.89 Å³ per atom
* energy of formation: 1.721 eV/atom

# 7
# ThMnSi

An optimized crystal structure of ThMnSi (PBE, Alexandria).

abc: 3.9913 4.2444 4.2444
angles: 120.00 90.00 90.00
Last column: nearest neighbours and their distance in Å.
Sites, in units of the cell vectors:
Si  0.1666  0.0000  0.0000  3 Mn 2.45
Th  0.6667  0.6667  0.3333  6 Mn 3.16, 6 Si 3.16
Mn  0.1667  0.3333  0.6667  3 Si 2.45

* total magnetic moment: 3.0 μB/cell
* calculated volume: 20.76 Å³ per atom
* formation energy (no corrections): -0.376 eV per atom

# 8
# Nd2Sm3Hg

An optimized crystal structure of Nd2Sm3Hg (PBE, Alexandria).

abc: 3.6763 3.6763 14.2525
angles: 90.00 90.00 90.00
Last column: nearest neighbours and their distance in Å.
Sites, in units of the cell vectors:
Nd  0.5000  0.5000  0.1802  8 Sm 3.64-3.65, 4 Nd 3.68
Nd  0.5000  0.5000  0.8198  8 Sm 3.64-3.65, 4 Nd 3.68
Sm  0.0000  0.0000  0.0000  8 Nd 3.65, 4 Sm 3.68
Sm  0.0000  0.0000  0.3589  4 Hg 3.29, 4 Nd 3.64, 4 Sm 3.68
Sm  0.0000  0.0000  0.6411  4 Hg 3.29, 4 Nd 3.64, 4 Sm 3.68
Hg  0.5000  0.5000  0.5000  8 Sm 3.29, 4 Hg 3.68

* total magnetic moment: 0.0 μB/cell
* calculated volume: 32.10 Å³ per atom
* energy of formation: -0.150 eV/atom

# 9
# CdSnTeO5

An optimized crystal structure of CdSnTeO5 (PBE, Alexandria).

abc: 5.8982 5.8982 8.3640
angles: 110.13 110.13 95.09
Last column: nearest neighbours and their distance in Å.
Sites, in units of the cell vectors:
Sn  0.0000  0.0000  0.0000  6 O 2.08-2.14
Sn  0.0000  0.0000  0.5000  6 O 2.08-2.14
Cd  0.7021  0.2979  0.7500  5 O 2.23-2.36
Cd  0.2979  0.7021  0.2500  5 O 2.23-2.36
O  0.1998  0.7249  0.9744  1 Sn 2.08, 1 Te 2.15, 1 Cd 2.23
O  0.2876  0.3351  0.6454  1 Te 1.93, 1 Sn 2.14
O  0.9730  0.0270  0.7500  2 Sn 2.10
O  0.7124  0.6649  0.3546  1 Te 1.93, 1 Sn 2.14
O  0.8002  0.2751  0.0256  1 Sn 2.08, 1 Te 2.15, 1 Cd 2.23
O  0.0270  0.9730  0.2500  2 Sn 2.10
O  0.6649  0.7124  0.8546  1 Te 1.93, 1 Sn 2.14
O  0.7249  0.1998  0.4744  1 Sn 2.08, 1 Te 2.15, 1 Cd 2.23
O  0.2751  0.8002  0.5256  1 Sn 2.08, 1 Te 2.15, 1 Cd 2.23
O  0.3351  0.2876  0.1454  1 Te 1.93, 1 Sn 2.14
Te  0.3122  0.6878  0.7500  4 O 1.93-2.15
Te  0.6878  0.3122  0.2500  4 O 1.93-2.15

* total magnetic moment: 0.0 μB/cell
* calculated volume: 15.58 Å³ per atom
* formation energy (no corrections): -1.161 eV per atom

# 10
# CoTc4Hg

An optimized crystal structure of CoTc4Hg (PBE, Alexandria).

abc: 5.1402 5.1402 5.1402
angles: 60.00 60.00 60.00
Last column: nearest neighbours and their distance in Å.
Sites, in units of the cell vectors:
Co  0.7500  0.7500  0.7500  12 Tc 3.01, 4 Hg 3.15
Tc  0.8745  0.3752  0.3752  6 Tc 2.57
Tc  0.3752  0.3752  0.8745  6 Tc 2.57
Tc  0.3752  0.3752  0.3752  6 Tc 2.57
Tc  0.3752  0.8745  0.3752  6 Tc 2.57
Hg  0.0000  0.0000  0.0000  12 Tc 3.01, 4 Co 3.15

* total magnetic moment: 2.2 μB/cell
* calculated volume: 16.01 Å³ per atom
* energy of formation: 0.653 eV/atom

# 11
# KBaAs

An optimized crystal structure of KBaAs (PBE, Alexandria).

abc: 5.9983 5.9985 4.5298
angles: 67.81 67.82 44.37
Last column: nearest neighbours and their distance in Å.
Sites, in units of the cell vectors:
Ba  0.6479  0.6479  0.3521  1 K 3.12, 4 As 3.49
As  0.0115  0.0115  0.9885  5 K 3.34-3.64, 5 Ba 3.49-3.69
K  0.3406  0.3406  0.6594  1 Ba 3.12, 1 As 3.34

* total magnetic moment: 0.0 μB/cell
* calculated volume: 34.69 Å³ per atom
* energy of formation: -0.532 eV/atom

# 12
# AlTl

An optimized crystal structure of AlTl (PBE, Alexandria).

abc: 12.9445 3.8088 6.1574
angles: 90.00 90.00 90.00
Last column: nearest neighbours and their distance in Å.
Sites, in units of the cell vectors:
Al  0.6080  0.0000  0.1374  3 Al 2.74-2.80, 4 Tl 3.05-3.06
Al  0.1080  0.5000  0.6374  3 Al 2.74-2.80, 4 Tl 3.05-3.06
Al  0.8920  0.5000  0.6374  3 Al 2.74-2.80, 4 Tl 3.05-3.06
Al  0.5000  0.5000  0.9112  4 Al 2.74, 1 Tl 2.81
Al  0.0000  0.0000  0.4112  4 Al 2.74, 1 Tl 2.81
Al  0.3920  0.0000  0.1374  3 Al 2.74-2.80, 4 Tl 3.05-3.06
Tl  0.2086  0.5000  0.1809  3 Al 3.05-3.10
Tl  0.2914  0.0000  0.6809  3 Al 3.05-3.10
Tl  0.7914  0.5000  0.1809  3 Al 3.05-3.10
Tl  0.0000  0.0000  0.9543  5 Al 2.81-3.06
Tl  0.7086  0.0000  0.6809  3 Al 3.05-3.10
Tl  0.5000  0.5000  0.4543  5 Al 2.81-3.06

* total magnetic moment: 0.0 μB/cell
* calculated volume: 25.30 Å³ per atom
* energy of formation: 0.215 eV/atom

Q: Look up the calculated volume of the eighth one.
A: 32.10 Å³ per atom

Q: Which formula does entry 8 have?
A: Nd2Sm3Hg